# RbSnI2F, relaxed, DFT GGA-PBE
# Crystal system: tetragonal
# Space-group type: P4/mmm
# Raw total energy: -3.391 eV per atom
# Calculated density: 4176 kg/m3
# ΔE_f (raw): -1.40 eV per atom
# Density of states at the Fermi level: 0.000 states/eV/cell
data_RbSnI2F
_cell_length_a 6.408
_cell_length_b 6.408
_cell_length_c 4.618
_cell_angle_alpha 90.00
_cell_angle_beta 90.00
_cell_angle_gamma 90.00
_symmetry_space_group_name_H-M 'P 1'
_symmetry_Int_Tables_number 1
loop_
_symmetry_equiv_pos_as_xyz
'x,y,z'
loop_
_atom_site_label
_atom_site_fract_x
_atom_site_fract_y
_atom_site_fract_z
Rb1 0.000 0.000 0.000
Sn1 0.500 0.500 0.500
I1 0.000 0.500 0.500
I2 0.500 0.000 0.500
F1 0.500 0.500 0.000